LaDyPdPt: optimized geometry, GGA-PBE.

Lattice parameters (Å, degrees): 4.581 5.750 5.750 39.15 90.00 90.00
Positions (direct):
La 0.000 0.000 0.000
Dy 0.500 0.728 0.728
Pd 0.500 0.449 0.449
Pt 0.000 0.272 0.272

Calculated values
Space group ... No. 38
E above lowest polymorph ... 0.0 kJ/mol of formula units
E_form ... -1.0527 eV per atom

***

Th8TcIr2: optimized geometry, GGA-PBE.

Lattice parameters (Å, degrees): 7.898 7.898 6.250 101.74 101.74 118.11
Positions (direct):
Th 0.000 0.000 0.000
Th 0.164 0.574 0.193
Th 0.250 0.995 0.575
Th 0.457 0.705 0.815
Th 0.574 0.164 0.193
Th 0.705 0.457 0.815
Th 0.707 0.707 0.368
Th 0.995 0.250 0.575
Tc 0.349 0.349 0.980
Ir 0.046 0.649 0.694
Ir 0.649 0.046 0.694

Calculated values
Space group ... No. 8
E_form ... -0.2344 eV per atom

***

What did the first record say?
LaDyPdPt: optimized geometry, GGA-PBE.

Lattice parameters (Å, degrees): 4.581 5.750 5.750 39.15 90.00 90.00
Positions (direct):
La 0.000 0.000 0.000
Dy 0.500 0.728 0.728
Pd 0.500 0.449 0.449
Pt 0.000 0.272 0.272

Calculated values
Space group ... No. 38
E above lowest polymorph ... 0.0 kJ/mol of formula units
E_form ... -1.0527 eV per atom